No. 1
Material: LaGd2Te3
Method: DFT, PBE-GGA
State: relaxed

Calculated values
- VASP energy (eV/cell) = -32.23

Cell: 4.4370 4.4370 10.9911 Å, 90.00 90.00 120.00°
Space group P-3m1 (No. 164)
Unique sites:
La1 0.0000 0.0000 0.0000 [1 per cell]
Gd1 0.3333 0.6667 0.6620 [2 per cell]
Te1 0.0000 0.0000 0.5000 [1 per cell]
Te2 0.3333 0.6667 0.1791 [2 per cell]

No. 2
Material: RbGaCuTe3
Method: DFT, PBE-GGA
State: relaxed

Calculated values
- VASP energy (eV/cell) = -38.51

Cell: 9.647 3.971 10.896 Å, 90.00 113.75 90.00°
Space group P2_1/m (No. 11)
Unique sites:
Rb1 0.244 0.250 0.285 [2 per cell]
Ga1 0.324 0.750 0.864 [2 per cell]
Cu1 0.059 0.250 0.584 [2 per cell]
Te1 0.109 0.250 0.841 [2 per cell]
Te2 0.230 0.750 0.568 [2 per cell]
Te3 0.462 0.750 0.141 [2 per cell]

No. 3
Material: GdLuCu2As4
Method: DFT, PBE-GGA
State: relaxed

Calculated values
- VASP energy (eV/cell) = -41.63

Cell: 3.907 3.907 9.828 Å, 90.00 90.00 90.00°
Space group P4mm (No. 99)
Unique sites:
Gd1 0.000 0.000 0.000 [1 per cell]
Lu1 0.500 0.500 0.527 [1 per cell]
Cu1 0.000 0.500 0.269 [2 per cell]
As1 0.000 0.000 0.431 [1 per cell]
As2 0.000 0.500 0.759 [2 per cell]
As3 0.500 0.500 0.107 [1 per cell]

No. 4
Material: TcBiNO
Method: DFT, PBE-GGA
State: relaxed

Calculated values
- VASP energy (eV/cell) = -56.54

Cell: 3.133 6.313 6.512 Å, 90.00 90.00 90.00°
Space group Pmc2_1 (No. 26)
Unique sites:
Tc1 0.000 0.102 0.000 [2 per cell]
Bi1 0.500 0.311 0.465 [2 per cell]
N1 0.000 0.100 0.723 [2 per cell]
O1 0.500 0.278 0.107 [2 per cell]

No. 5
Material: PrNd2Mg3Al2Cd
Method: DFT, PBE-GGA
State: relaxed

Calculated values
- VASP energy (eV/cell) = -60.40

Cell: 4.680 13.180 7.592 Å, 90.00 90.00 90.00°
Space group Amm2 (No. 38)
Unique sites:
Pr1 0.000 0.000 0.000 [2 per cell]
Nd1 0.000 0.213 0.638 [4 per cell]
Mg1 0.500 0.000 0.671 [2 per cell]
Mg2 0.500 0.123 0.303 [4 per cell]
Al1 0.500 0.167 0.925 [4 per cell]
Cd1 0.000 0.000 0.427 [2 per cell]

No. 6
Material: Dy2YSc2S7
Method: DFT, PBE-GGA
State: relaxed

Calculated values
- VASP energy (eV/cell) = -162.93

Cell: 12.421 3.737 11.367 Å, 90.00 105.13 90.00°
Space group C2/m (No. 12)
Unique sites:
Dy1 0.196 0.000 0.299 [4 per cell]
Y1 0.000 0.500 0.500 [2 per cell]
Sc1 0.111 0.500 0.929 [4 per cell]
S1 0.000 0.000 0.000 [2 per cell]
S2 0.033 0.500 0.276 [4 per cell]
S3 0.163 0.000 0.553 [4 per cell]
S4 0.236 0.000 0.861 [4 per cell]